This record from the Alexandria database describes a geometry-optimized MnSi2Pb structure. The functional is GGA-PBE.

Calculated values
Formation energy from raw total energies: 18 kJ/mol of atoms
Size of the total moment: 0.511 μB per atom
Symmetry: Cm, No. 8

abc: 4.2284 4.2284 6.2858
angles: 66.83 66.83 49.90
Each line ends with the local moment (μB).
Atoms (fractional coordinates):
Mn 0.4379 0.4379 0.7264  2.17
Si 0.7749 0.7749 0.6303  -0.06
Si 0.0750 0.0750 0.8792  -0.03
Pb 0.2122 0.2122 0.2641  -0.03